NpSc2: relaxed, PBE.

Cell lengths 7.9969, 7.9969, 7.9969 Å; angles 60.00, 60.00, 60.00 degrees
With the nearest neighbours (Å) after each atom.
Element x y z (fractional)
Np: 0.1250 0.1250 0.1250  4 Sc 2.45
Np: 0.8750 0.8750 0.8750  4 Sc 2.45
Sc: 0.0000 0.0000 0.0000  2 Np 2.45
Sc: 0.0000 0.0000 0.5000  2 Np 2.45
Sc: 0.0000 0.5000 0.0000  2 Np 2.45
Sc: 0.5000 0.0000 0.0000  2 Np 2.45

Values from the calculation:
Energy of formation from the pure elements   2.8078 eV/atom
Crystal system   cubic
SG   Fd-3m
Volume   60.27 A^3/atom
E_tot   -5.668 eV/atom
Size of the total moment   4.0 μB/f.u.

***

Ta2P: relaxed, PBE.

Cell lengths 6.0118, 6.0118, 5.2665 Å; angles 90.00, 90.00, 120.00 degrees
With the nearest neighbours (Å) after each atom.
Element x y z (fractional)
Ta: 0.0000 0.3653 0.2080  3 P 2.45-2.46, 1 Ta 2.72
Ta: 0.0000 0.6347 0.7920  3 P 2.45-2.46, 1 Ta 2.72
Ta: 0.3653 0.0000 0.2080  3 P 2.45-2.46, 1 Ta 2.72
Ta: 0.3653 0.3653 0.7920  3 P 2.45-2.46, 1 Ta 2.72
Ta: 0.6347 0.0000 0.7920  3 P 2.45-2.46, 1 Ta 2.72
Ta: 0.6347 0.6347 0.2080  3 P 2.45-2.46, 1 Ta 2.72
P: 0.0000 0.0000 0.0000  6 Ta 2.45
P: 0.3333 0.6667 0.5000  6 Ta 2.46
P: 0.6667 0.3333 0.5000  6 Ta 2.46

Values from the calculation:
Crystal system   trigonal
SG   P-31m
Volume   18.32 A^3/atom
E_tot   -10.006 eV/atom
Size of the total moment   0.0 μB/f.u.

***

The lowest volume belongs to which entry?
Ta2P

***

Which of these has the lowest size of the total moment?
Ta2P

***

Repeat the first record exactly.
NpSc2: relaxed, PBE.

Cell lengths 7.9969, 7.9969, 7.9969 Å; angles 60.00, 60.00, 60.00 degrees
With the nearest neighbours (Å) after each atom.
Element x y z (fractional)
Np: 0.1250 0.1250 0.1250  4 Sc 2.45
Np: 0.8750 0.8750 0.8750  4 Sc 2.45
Sc: 0.0000 0.0000 0.0000  2 Np 2.45
Sc: 0.0000 0.0000 0.5000  2 Np 2.45
Sc: 0.0000 0.5000 0.0000  2 Np 2.45
Sc: 0.5000 0.0000 0.0000  2 Np 2.45

Values from the calculation:
Energy of formation from the pure elements   2.8078 eV/atom
Crystal system   cubic
SG   Fd-3m
Volume   60.27 A^3/atom
E_tot   -5.668 eV/atom
Size of the total moment   4.0 μB/f.u.